# 1
Below is an optimized crystal structure of MnP2Br2, with properties calculated at the PBE level.

Properties
Uncorrected formation energy in eV per atom: 0.072
Calculated volume in Å³/atom: 43.39
Total magnetic moment in μB per cell: 10.0
Excess energy over the best structure of this formula in the dataset in eV per formula unit: 0.36

abc: 7.065 7.065 8.692
angles: 90.00 90.00 90.00
Fractional coordinates of all 10 atoms:
Mn  0.000  0.000  0.000
Mn  0.500  0.500  0.000
P  0.095  0.405  0.500
P  0.405  0.905  0.500
P  0.595  0.095  0.500
P  0.905  0.595  0.500
Br  0.185  0.685  0.000
Br  0.315  0.185  0.000
Br  0.685  0.815  0.000
Br  0.815  0.315  0.000

=====

# 2
Below is an optimized crystal structure of Mn4PBr, with properties calculated at the PBE level.

Properties
Uncorrected formation energy in eV per atom: 0.735
Calculated volume in Å³/atom: 15.20
Total magnetic moment in μB per cell: 11.4

abc: 5.053 5.053 5.053
angles: 60.00 60.00 60.00
Fractional coordinates of all 6 atoms:
Mn  0.123  0.123  0.123
Mn  0.123  0.123  0.630
Mn  0.123  0.630  0.123
Mn  0.630  0.123  0.123
P  0.750  0.750  0.750
Br  0.500  0.500  0.500

=====

# 3
Below is an optimized crystal structure of Mn2P2Br, with properties calculated at the PBE level.

Properties
Uncorrected formation energy in eV per atom: 0.030
Calculated volume in Å³/atom: 15.16
Total magnetic moment in μB per cell: 1.1

abc: 6.806 6.806 6.806
angles: 150.59 150.59 42.07
Fractional coordinates of all 5 atoms:
Mn  0.138  0.138  0.000
Mn  0.862  0.862  0.000
P  0.250  0.750  0.500
P  0.750  0.250  0.500
Br  0.500  0.500  0.000

=====

# 4
Below is an optimized crystal structure of Mn3PBr, with properties calculated at the PBE level.

Properties
Uncorrected formation energy in eV per atom: 0.313
Calculated volume in Å³/atom: 20.87
Total magnetic moment in μB per cell: 13.0
Excess energy over the best structure of this formula in the dataset in eV per formula unit: 0.00

abc: 4.708 4.708 4.708
angles: 90.00 90.00 90.00
Fractional coordinates of all 5 atoms:
Mn  0.000  0.000  0.500
Mn  0.000  0.500  0.000
Mn  0.500  0.000  0.000
P  0.000  0.000  0.000
Br  0.500  0.500  0.500